# PBE PmPr4Er15, optimized geometry
data_PmPr4Er15
_chemical_formula_sum 'Pm1 Pr4 Er15'
_space_group_name_H-M_alt 'P 4/m m m'
_space_group_IT_number 123
_space_group_name_Hall '-P 4 2'
_cell_length_a 5.0374
_cell_length_b 5.0374
_cell_length_c 25.0240
_cell_angle_alpha 90.00
_cell_angle_beta 90.00
_cell_angle_gamma 90.00
loop_
_atom_site_label
_atom_site_type_symbol
_atom_site_fract_x
_atom_site_fract_y
_atom_site_fract_z
_atom_site_occupancy
Pm1 Pm 0.0000 0.0000 0.0000 1
Pr1 Pr 0.0000 0.0000 0.1998 1
Pr2 Pr 0.0000 0.0000 0.3999 1
Er1 Er 0.0000 0.5000 0.0994 1
Er2 Er 0.0000 0.5000 0.2998 1
Er3 Er 0.0000 0.5000 0.5000 1
Er4 Er 0.5000 0.5000 0.0000 1
Er5 Er 0.5000 0.5000 0.1996 1
Er6 Er 0.5000 0.5000 0.3999 1
# Crystal system: tetragonal
# Formation energy, eV/atom: 0.02
# Electronic total energy, eV per atom: -4.5908
# Total moment, μB/f.u.: 0.000


# PBE CuTc3O, optimized geometry
data_CuTc3O
_chemical_formula_sum 'Cu1 Tc3 O1'
_space_group_name_H-M_alt 'P m -3 m'
_space_group_IT_number 221
_space_group_name_Hall '-P 4 2 3'
_cell_length_a 4.4930
_cell_length_b 4.4930
_cell_length_c 4.4930
_cell_angle_alpha 90.00
_cell_angle_beta 90.00
_cell_angle_gamma 90.00
loop_
_atom_site_label
_atom_site_type_symbol
_atom_site_fract_x
_atom_site_fract_y
_atom_site_fract_z
_atom_site_occupancy
Cu1 Cu 0.0000 0.0000 0.0000 1
Tc1 Tc 0.0000 0.0000 0.5000 1
O1 O 0.5000 0.5000 0.5000 1
# Crystal system: cubic
# Formation energy without anion corrections, eV per atom: 2.347
# Electronic total energy, eV per atom: -5.6832
# Total moment, μB/f.u.: 5.360


# PBE ZnTc2Br, optimized geometry
data_ZnTc2Br
_chemical_formula_sum 'Zn1 Tc2 Br1'
_space_group_name_H-M_alt 'P 1 2/m 1'
_space_group_IT_number 10
_cell_length_a 3.5946
_cell_length_b 4.4833
_cell_length_c 5.2047
_cell_angle_alpha 90.00
_cell_angle_beta 99.60
_cell_angle_gamma 90.00
loop_
_space_group_symop_operation_xyz
'x,y,z'
'-x,-y,-z'
'-x,y,-z'
'x,-y,z'
loop_
_atom_site_label
_atom_site_type_symbol
_atom_site_fract_x
_atom_site_fract_y
_atom_site_fract_z
_atom_site_occupancy
Zn1 Zn 0.0000 0.0000 0.0000 1
Tc1 Tc 0.3168 0.5000 0.1499 1
Br1 Br 0.5000 0.0000 0.5000 1
# Crystal system: monoclinic
# Formation energy without anion corrections, eV per atom: 0.612
# Electronic total energy, eV per atom: -5.3073
# Total moment, μB/f.u.: 0.000


# PBE MnSe2N, optimized geometry
data_MnSe2N
_chemical_formula_sum 'Mn3 Se6 N3'
_space_group_name_H-M_alt 'R -3 m'
_space_group_IT_number 166
_space_group_name_Hall '-R 3 2"'
_cell_length_a 3.1958
_cell_length_b 3.1958
_cell_length_c 23.0132
_cell_angle_alpha 90.00
_cell_angle_beta 90.00
_cell_angle_gamma 120.00
loop_
_atom_site_label
_atom_site_type_symbol
_atom_site_fract_x
_atom_site_fract_y
_atom_site_fract_z
_atom_site_occupancy
Mn1 Mn 0.0000 0.0000 0.0000 1
Se1 Se 0.0000 0.0000 0.1041 1
N1 N 0.0000 0.0000 0.5000 1
# Crystal system: trigonal
# Formation energy without anion corrections, eV per atom: 1.164
# Electronic total energy, eV per atom: -4.9519
# Total moment, μB/f.u.: 3.563


# PBE KZrMo2, optimized geometry
data_KZrMo2
_chemical_formula_sum 'K2 Zr2 Mo4'
_space_group_name_H-M_alt 'C 1 m 1'
_space_group_IT_number 8
_cell_length_a 8.6714
_cell_length_b 2.7624
_cell_length_c 8.4857
_cell_angle_alpha 90.00
_cell_angle_beta 90.61
_cell_angle_gamma 90.00
loop_
_space_group_symop_operation_xyz
'x,y,z'
'x,-y,z'
'x+1/2,y+1/2,z'
'x+1/2,-y+1/2,z'
loop_
_atom_site_label
_atom_site_type_symbol
_atom_site_fract_x
_atom_site_fract_y
_atom_site_fract_z
_atom_site_occupancy
K1 K 0.0000 0.0000 0.0000 1
Zr1 Zr 0.2564 0.5000 0.3709 1
Mo1 Mo 0.2444 0.0000 0.6921 1
Mo2 Mo 0.4957 0.0000 0.5566 1
# Crystal system: monoclinic
# Formation energy, eV/atom: 0.85
# Electronic total energy, eV per atom: -6.9728
# Total moment, μB/f.u.: 0.001


# PBE Tb2MnNi9, optimized geometry
data_Tb2MnNi9
_chemical_formula_sum 'Tb6 Mn3 Ni27'
_space_group_name_H-M_alt 'R -3 m'
_space_group_IT_number 166
_space_group_name_Hall '-R 3 2"'
_cell_length_a 4.8902
_cell_length_b 4.8902
_cell_length_c 24.1890
_cell_angle_alpha 90.00
_cell_angle_beta 90.00
_cell_angle_gamma 120.00
loop_
_atom_site_label
_atom_site_type_symbol
_atom_site_fract_x
_atom_site_fract_y
_atom_site_fract_z
_atom_site_occupancy
Tb1 Tb 0.0000 0.0000 0.1352 1
Mn1 Mn 0.0000 0.0000 0.0000 1
Ni1 Ni 0.0000 0.0000 0.3331 1
Ni2 Ni 0.0000 0.0000 0.5000 1
Ni3 Ni 0.0007 0.5004 0.9195 1
# Crystal system: trigonal
# Formation energy, eV/atom: -0.19
# Electronic total energy, eV per atom: -6.0617
# Total moment, μB/f.u.: 6.864


# PBE TbDy2Ag2, optimized geometry
data_TbDy2Ag2
_chemical_formula_sum 'Tb2 Dy4 Ag4'
_space_group_name_H-M_alt 'C 1 2/m 1'
_space_group_IT_number 12
_cell_length_a 7.1831
_cell_length_b 6.9954
_cell_length_c 6.1266
_cell_angle_alpha 90.00
_cell_angle_beta 115.28
_cell_angle_gamma 90.00
loop_
_space_group_symop_operation_xyz
'x,y,z'
'-x,-y,-z'
'-x,y,-z'
'x,-y,z'
'x+1/2,y+1/2,z'
'-x+1/2,-y+1/2,-z'
'-x+1/2,y+1/2,-z'
'x+1/2,-y+1/2,z'
loop_
_atom_site_label
_atom_site_type_symbol
_atom_site_fract_x
_atom_site_fract_y
_atom_site_fract_z
_atom_site_occupancy
Tb1 Tb 0.0000 0.0000 0.0000 1
Dy1 Dy 0.0000 0.2542 0.5000 1
Ag1 Ag 0.1621 0.5000 0.2119 1
# Crystal system: monoclinic
# Formation energy, eV/atom: -0.03
# Electronic total energy, eV per atom: -3.9329
# Total moment, μB/f.u.: 0.000


# PBE CaCr2Pt, optimized geometry
data_CaCr2Pt
_chemical_formula_sum 'Ca4 Cr8 Pt4'
_space_group_name_H-M_alt 'F m -3 m'
_space_group_IT_number 225
_space_group_name_Hall '-F 4 2 3'
_cell_length_a 6.2715
_cell_length_b 6.2715
_cell_length_c 6.2715
_cell_angle_alpha 90.00
_cell_angle_beta 90.00
_cell_angle_gamma 90.00
loop_
_atom_site_label
_atom_site_type_symbol
_atom_site_fract_x
_atom_site_fract_y
_atom_site_fract_z
_atom_site_occupancy
Ca1 Ca 0.0000 0.0000 0.0000 1
Cr1 Cr 0.2500 0.2500 0.2500 1
Pt1 Pt 0.0000 0.0000 0.5000 1
# Crystal system: cubic
# Formation energy, eV/atom: 0.69
# Electronic total energy, eV per atom: -6.1362
# Total moment, μB/f.u.: 0.000